Entry 1:
! Cu3Cl, optimized geometry, DFT GGA-PBEsol; values from VASP
&SYSTEM
  ibrav = 0, nat = 4, ntyp = 2
/
ATOMIC_SPECIES
Cu 63.55 Cu.upf
Cl 35.45 Cl.upf
CELL_PARAMETERS angstrom
3.039 0.000 0.000
0.000 3.039 0.000
0.000 0.000 5.771
ATOMIC_POSITIONS crystal
Cu 0.000 0.000 0.000
Cu 0.500 0.500 0.214
Cu 0.500 0.500 0.786
Cl 0.000 0.000 0.500
! ΔE_f (raw), eV per formula unit: 0.513
! Relative energy among the computed polymorphs, eV per formula unit: 0.00
! Energy, eV per atom: -3.624


Entry 2:
! CuCl, optimized geometry, DFT GGA-PBEsol; values from VASP
&SYSTEM
  ibrav = 0, nat = 4, ntyp = 2
/
ATOMIC_SPECIES
Cu 63.55 Cu.upf
Cl 35.45 Cl.upf
CELL_PARAMETERS angstrom
1.795 1.036 6.466
-1.795 1.036 6.466
0.000 -2.072 6.466
ATOMIC_POSITIONS crystal
Cu 0.126 0.126 0.126
Cu 0.874 0.874 0.874
Cl 0.411 0.411 0.411
Cl 0.589 0.589 0.589
! ΔE_f (raw), eV per formula unit: -0.657
! Energy, eV per atom: -3.500


Entry 3:
! CuCl, optimized geometry, DFT GGA-PBEsol; values from VASP
&SYSTEM
  ibrav = 0, nat = 2, ntyp = 2
/
ATOMIC_SPECIES
Cu 63.55 Cu.upf
Cl 35.45 Cl.upf
CELL_PARAMETERS angstrom
0.000 2.640 2.640
2.640 0.000 2.640
2.640 2.640 0.000
ATOMIC_POSITIONS crystal
Cu 0.000 0.000 0.000
Cl 0.250 0.250 0.250
! ΔE_f (raw), eV per formula unit: -0.723
! Energy, eV per atom: -3.532


Entry 4:
! Cu3Cl, optimized geometry, DFT GGA-PBEsol; values from VASP
&SYSTEM
  ibrav = 0, nat = 4, ntyp = 2
/
ATOMIC_SPECIES
Cu 63.55 Cu.upf
Cl 35.45 Cl.upf
CELL_PARAMETERS angstrom
3.207 0.000 0.000
0.000 3.469 0.000
0.000 0.000 5.142
ATOMIC_POSITIONS crystal
Cu 0.000 0.000 0.000
Cu 0.000 0.500 0.320
Cu 0.500 0.500 0.947
Cl 0.500 0.000 0.575
! ΔE_f (raw), eV per formula unit: 0.761
! Relative energy among the computed polymorphs, eV per formula unit: 0.25
! Energy, eV per atom: -3.562


What is the formula in the fourth record? Cu3Cl